# Ba2Ag12Sn7

Crystalline Ba2Ag12Sn7 at its relaxed geometry (PBE, Alexandria).

Calculated values
SG = No. 147

```
Ba2Ag12Sn7
1.0
4.939 0.000 0.000
0.000 9.407 -5.431
0.000 0.000 10.863
Ba Ag Sn
2 12 7
Cartesian
1.126 3.136 5.431
3.813 6.272 0.000
1.007 5.805 -2.818
1.007 4.064 1.813
1.007 8.945 1.005
3.932 3.602 8.249
3.932 5.343 3.619
3.932 0.462 4.426
0.848 1.204 2.054
0.848 1.177 8.793
0.848 7.027 5.447
4.092 8.203 3.378
4.092 8.231 -3.362
4.092 2.381 -0.016
2.470 0.000 0.000
1.537 8.421 -1.734
1.537 3.695 -0.994
1.537 6.699 2.728
3.402 0.987 7.166
3.402 5.712 6.425
3.402 2.708 2.703
```

# BaAg2Sn

Crystalline BaAg2Sn at its relaxed geometry (PBE, Alexandria).

Calculated values
SG = No. 122

```
BaAg2Sn
1.0
5.438 0.000 0.000
0.000 5.438 0.000
2.719 2.719 9.357
Ba Ag Sn
2 4 2
Cartesian
0.000 0.000 0.000
5.438 2.719 4.678
2.903 1.360 2.339
2.535 4.079 2.339
4.079 5.254 7.018
6.798 5.623 7.018
2.719 2.719 0.000
2.719 5.438 4.678
```

Number 1: M_tot 0.00 μB/cell, DOS at the Fermi energy 0.335 states/eV per atom, DFT total energy -3.289 eV/atom. Number 2: M_tot 0.00 μB/cell, DOS at the Fermi energy 0.346 states/eV per atom, DFT total energy -3.106 eV/atom.